# 1
Tl2RuPb | PBE | relaxed

As for the energy above the most stable polymorph in this dataset: 337 meV/atom. Its calculated formation energy is 0.631 eV/atom. Its space-group type is No. 47.

Cell and atoms, written as POSCAR:
```
Tl2RuPb
1.0
3.521 0.000 0.000
0.000 5.189 0.000
0.000 0.000 5.181
Pb Ru Tl
1 1 2
Direct
0.500 0.000 0.500
0.000 0.500 0.500
0.000 0.000 0.000
0.500 0.500 0.000
```

# 2
NdMg4Ag | PBE | relaxed

As for the energy above the most stable polymorph in this dataset: 203 meV/atom. Its calculated formation energy is 0.047 eV/atom. Its space-group type is No. 216.

Cell and atoms, written as POSCAR:
```
NdMg4Ag
1.0
-4.623 -3.498 -1.198
-1.225 -1.472 -5.601
0.890 -5.547 -1.865
Mg Nd Ag
4 1 1
Direct
0.625 0.625 0.125
0.625 0.125 0.625
0.625 0.625 0.625
0.125 0.625 0.625
0.250 0.250 0.250
0.000 0.000 0.000
```

# 3
TbEr2PuN4 | PBE | relaxed

Its space-group type is No. 10. As for the uncorrected formation energy: -12.8 eV/f.u.

Cell and atoms, written as POSCAR:
```
TbEr2PuN4
1.0
3.463 0.000 0.000
0.000 5.973 0.108
0.000 -2.085 5.598
Tb Er Pu N
1 2 1 4
Direct
0.500 0.500 0.000
0.500 0.000 0.500
0.000 0.500 0.500
0.000 0.000 0.000
0.500 0.245 0.249
0.500 0.755 0.751
0.000 0.244 0.749
0.000 0.756 0.251
```

# 4
Ho3ScAg3 | PBE | relaxed

Its calculated formation energy is -0.143 eV/atom. Its space-group type is No. 65.

Cell and atoms, written as POSCAR:
```
Ho3ScAg3
1.0
-4.447 1.278 5.387
-1.685 -6.864 0.693
5.216 -0.826 4.502
Ho Sc Ag
6 2 6
Direct
0.739 0.739 0.500
0.246 0.754 0.500
0.754 0.246 0.500
0.293 0.707 0.000
0.707 0.293 0.000
0.261 0.261 0.500
0.773 0.773 0.000
0.227 0.227 0.000
0.000 0.000 0.239
0.000 0.500 0.762
0.500 0.000 0.762
0.000 0.500 0.238
0.500 0.000 0.238
0.000 0.000 0.761
```